Entry 1:
DFT (PBE-GGA) results for a relaxed structure of Er6AlNi2.

abc: 8.251 8.251 8.251
angles: 112.46 110.08 105.94
Sites, in units of the cell vectors:
1 Ni 0.121 0.621 0.500
2 Ni 0.656 0.000 0.656
3 Ni 0.344 0.000 0.344
4 Ni 0.879 0.379 0.500
5 Er 0.675 0.981 0.306
6 Er 0.325 0.632 0.306
7 Er 0.675 0.368 0.694
8 Er 0.960 0.763 0.197
9 Er 0.182 0.285 0.467
10 Er 0.325 0.019 0.694
11 Er 0.818 0.715 0.533
12 Er 0.182 0.715 0.897
13 Er 0.566 0.763 0.803
14 Er 0.434 0.237 0.197
15 Er 0.818 0.285 0.103
16 Er 0.040 0.237 0.803
17 Al 0.000 0.000 0.000
18 Al 0.500 0.500 0.000

Entry 2:
DFT (PBE-GGA) results for a relaxed structure of Er2Al8Ni.

abc: 4.215 4.215 11.016
angles: 90.00 90.00 90.00
Sites, in units of the cell vectors:
1 Al 0.500 0.500 0.304
2 Al 0.500 0.500 0.696
3 Al 0.500 0.000 0.880
4 Al 0.000 0.500 0.880
5 Al 0.000 0.500 0.120
6 Al 0.500 0.000 0.500
7 Al 0.000 0.500 0.500
8 Al 0.500 0.000 0.120
9 Er 0.000 0.000 0.691
10 Er 0.000 0.000 0.309
11 Ni 0.000 0.000 0.000

Entry 3:
DFT (PBE-GGA) results for a relaxed structure of Er2AlNiOs.

abc: 5.441 5.441 5.441
angles: 135.78 79.10 118.19
Sites, in units of the cell vectors:
1 Er 0.305 0.506 0.799
2 Er 0.707 0.506 0.201
3 Os 0.726 0.226 0.500
4 Ni 0.262 0.762 0.500
5 Al 0.000 0.000 0.000

Entry 4:
DFT (PBE-GGA) results for a relaxed structure of PrErAl4Ni2.

abc: 6.909 5.581 5.581
angles: 42.77 90.00 90.00
Sites, in units of the cell vectors:
1 Ni 0.000 0.715 0.715
2 Ni 0.500 0.282 0.282
3 Er 0.000 0.440 0.440
4 Al 0.809 0.161 0.161
5 Al 0.699 0.841 0.841
6 Al 0.301 0.841 0.841
7 Al 0.191 0.161 0.161
8 Pr 0.500 0.559 0.559

Entry 5:
DFT (PBE-GGA) results for a relaxed structure of PrErAlNi2.

abc: 5.444 5.444 5.444
angles: 134.50 120.13 78.30
Sites, in units of the cell vectors:
1 Er 0.703 0.203 0.500
2 Ni 0.266 0.500 0.766
3 Ni 0.734 0.500 0.234
4 Pr 0.296 0.796 0.500
5 Al 0.000 0.000 0.000

Entry 6:
DFT (PBE-GGA) results for a relaxed structure of ErScAl4Ni2.

abc: 6.783 5.286 5.286
angles: 44.86 90.00 90.00
Sites, in units of the cell vectors:
1 Er 0.000 0.436 0.436
2 Al 0.306 0.849 0.849
3 Al 0.203 0.149 0.149
4 Al 0.694 0.849 0.849
5 Al 0.797 0.149 0.149
6 Sc 0.500 0.564 0.564
7 Ni 0.500 0.289 0.289
8 Ni 0.000 0.716 0.716

Entry 7:
DFT (PBE-GGA) results for a relaxed structure of SmErAlNi2.

abc: 5.394 5.394 5.394
angles: 134.25 119.89 78.69
Sites, in units of the cell vectors:
1 Ni 0.267 0.500 0.767
2 Ni 0.733 0.500 0.233
3 Sm 0.704 0.204 0.500
4 Al 0.000 0.000 0.000
5 Er 0.296 0.796 0.500

Entry 8:
DFT (PBE-GGA) results for a relaxed structure of Er2TmAl3Ni3.

abc: 3.929 6.852 6.852
angles: 119.97 90.00 90.00
Sites, in units of the cell vectors:
1 Ni 0.500 0.335 0.666
2 Ni 0.000 0.999 0.999
3 Ni 0.500 0.666 0.335
4 Tm 0.000 0.585 0.585
5 Er 0.000 0.416 0.000
6 Er 0.000 0.000 0.416
7 Al 0.500 0.000 0.762
8 Al 0.500 0.762 0.000
9 Al 0.500 0.238 0.238

Entry 9:
DFT (PBE-GGA) results for a relaxed structure of ErTmAlNi2.

abc: 5.318 5.318 5.318
angles: 134.11 119.49 79.15
Sites, in units of the cell vectors:
1 Al 0.000 0.000 0.000
2 Ni 0.267 0.500 0.767
3 Ni 0.733 0.500 0.233
4 Er 0.297 0.797 0.500
5 Tm 0.703 0.203 0.500

Entry 10:
DFT (PBE-GGA) results for a relaxed structure of ErTm2Al3Ni3.

abc: 3.915 6.856 6.856
angles: 120.01 90.00 90.00
Sites, in units of the cell vectors:
1 Ni 0.500 0.332 0.667
2 Ni 0.500 0.667 0.332
3 Ni 0.000 0.001 0.001
4 Tm 0.000 0.000 0.415
5 Tm 0.000 0.415 0.000
6 Al 0.500 0.763 0.000
7 Al 0.500 0.237 0.237
8 Al 0.500 0.000 0.763
9 Er 0.000 0.584 0.584

Entry 11:
DFT (PBE-GGA) results for a relaxed structure of YErAl2Ni4.

abc: 4.133 4.133 8.890
angles: 90.00 90.00 120.00
Sites, in units of the cell vectors:
1 Ni 0.333 0.667 0.183
2 Ni 0.000 0.000 0.309
3 Ni 0.000 0.000 0.691
4 Ni 0.333 0.667 0.817
5 Al 0.667 0.333 0.247
6 Al 0.667 0.333 0.753
7 Er 0.000 0.000 0.000
8 Y 0.333 0.667 0.500

Entry 12:
DFT (PBE-GGA) results for a relaxed structure of Er2Al3ZnNi2.

abc: 5.276 5.276 6.965
angles: 90.28 90.28 45.25
Sites, in units of the cell vectors:
1 Al 0.351 0.351 0.945
2 Al 0.652 0.652 0.055
3 Al 0.343 0.343 0.554
4 Ni 0.785 0.785 0.753
5 Ni 0.221 0.221 0.243
6 Er 0.064 0.064 0.749
7 Er 0.937 0.937 0.255
8 Zn 0.647 0.647 0.446

Entry 13:
DFT (PBE-GGA) results for a relaxed structure of ErZrAl2Ni4.

abc: 4.122 4.122 8.372
angles: 90.00 90.00 120.00
Sites, in units of the cell vectors:
1 Ni 0.333 0.667 0.185
2 Ni 0.000 0.000 0.662
3 Ni 0.333 0.667 0.815
4 Ni 0.000 0.000 0.338
5 Al 0.667 0.333 0.739
6 Al 0.667 0.333 0.261
7 Zr 0.333 0.667 0.500
8 Er 0.000 0.000 0.000

Entry 14:
DFT (PBE-GGA) results for a relaxed structure of ErAlO3.

abc: 5.337 5.328 8.281
angles: 90.00 90.00 90.00
Sites, in units of the cell vectors:
1 O 0.660 0.185 0.750
2 O 0.160 0.315 0.250
3 O 0.840 0.685 0.750
4 O 0.340 0.815 0.250
5 O 0.641 0.356 0.090
6 O 0.141 0.144 0.590
7 O 0.359 0.644 0.910
8 O 0.859 0.856 0.090
9 O 0.359 0.644 0.590
10 O 0.859 0.856 0.410
11 O 0.141 0.144 0.910
12 O 0.641 0.356 0.410
13 Al 0.470 0.487 0.250
14 Al 0.530 0.513 0.750
15 Al 0.970 0.013 0.750
16 Al 0.030 0.987 0.250
17 Er 0.000 0.500 0.500
18 Er 0.500 0.000 0.000
19 Er 0.500 0.000 0.500
20 Er 0.000 0.500 0.000

Entry 15:
DFT (PBE-GGA) results for a relaxed structure of ErAlO3.

abc: 5.131 5.341 7.343
angles: 90.00 90.00 90.00
Sites, in units of the cell vectors:
1 O 0.298 0.702 0.548
2 O 0.798 0.798 0.452
3 O 0.202 0.202 0.548
4 O 0.202 0.202 0.952
5 O 0.593 0.026 0.750
6 O 0.702 0.298 0.452
7 O 0.702 0.298 0.048
8 O 0.907 0.526 0.750
9 O 0.798 0.798 0.048
10 O 0.298 0.702 0.952
11 O 0.407 0.974 0.250
12 O 0.093 0.474 0.250
13 Al 0.500 0.000 0.000
14 Al 0.000 0.500 0.500
15 Al 0.000 0.500 0.000
16 Al 0.500 0.000 0.500
17 Er 0.515 0.561 0.250
18 Er 0.485 0.439 0.750
19 Er 0.985 0.061 0.250
20 Er 0.015 0.939 0.750

Entry 16:
DFT (PBE-GGA) results for a relaxed structure of Er4Al4O11.

abc: 5.130 5.338 7.292
angles: 90.00 90.00 90.14
Sites, in units of the cell vectors:
1 O 0.701 0.296 0.048
2 O 0.701 0.296 0.452
3 O 0.202 0.203 0.955
4 O 0.299 0.702 0.954
5 O 0.590 0.025 0.750
6 O 0.798 0.798 0.047
7 O 0.408 0.975 0.250
8 O 0.299 0.702 0.546
9 O 0.202 0.203 0.545
10 O 0.910 0.525 0.750
11 O 0.798 0.798 0.453
12 Er 0.512 0.558 0.250
13 Er 0.987 0.063 0.250
14 Er 0.486 0.441 0.750
15 Er 0.013 0.939 0.750
16 Al 0.500 0.000 0.499
17 Al 0.500 0.000 0.001
18 Al 0.000 0.501 0.005
19 Al 0.000 0.501 0.495

Entry 17:
DFT (PBE-GGA) results for a relaxed structure of ErAlO3.

abc: 5.188 5.188 5.621
angles: 62.52 62.52 60.00
Sites, in units of the cell vectors:
1 O 0.967 0.560 0.273
2 O 0.200 0.967 0.273
3 O 0.560 0.200 0.273
4 O 0.033 0.440 0.727
5 O 0.440 0.800 0.727
6 O 0.800 0.033 0.727
7 Er 0.367 0.367 0.899
8 Er 0.633 0.633 0.101
9 Al 0.845 0.845 0.465
10 Al 0.155 0.155 0.535

Entry 18:
DFT (PBE-GGA) results for a relaxed structure of Er4Al4O11.

abc: 5.127 5.325 7.336
angles: 90.14 89.87 90.35
Sites, in units of the cell vectors:
1 O 0.201 0.203 0.548
2 O 0.298 0.704 0.548
3 O 0.092 0.475 0.251
4 O 0.203 0.204 0.954
5 O 0.412 0.977 0.249
6 O 0.592 0.026 0.751
7 O 0.797 0.796 0.452
8 O 0.908 0.524 0.750
9 O 0.701 0.297 0.449
10 O 0.299 0.702 0.954
11 O 0.797 0.797 0.048
12 Er 0.985 0.059 0.250
13 Er 0.485 0.441 0.750
14 Er 0.519 0.557 0.245
15 Er 0.014 0.941 0.751
16 Al 0.994 0.496 0.001
17 Al 0.499 0.999 0.499
18 Al 0.501 0.001 0.001
19 Al 0.001 0.500 0.500

Electronic total energy readings, ordered: -5.043, -4.505, -6.456, -5.030, -5.325, -5.274, -5.356, -5.244, -5.367, -5.237, -5.693, -4.681, -5.965, -7.736, -7.978, -7.792, -7.834, -7.792 eV/atom